KMnSeO4: optimized geometry, PBE with a Hubbard U.

Its volume is 662.13 Å³/cell. The value obtained for the calculated total energy is -5.610 eV per atom.

Unit cell a=8.716 b=8.716 c=8.716 alpha=90.00 beta=90.00 gamma=90.00
Space group F-43m (No. 216)
Unique sites:
K 0.000 0.000 0.000 [4 per cell]
Mn 0.250 0.250 0.250 [4 per cell]
Se 0.000 0.000 0.500 [4 per cell]
O 0.119 0.119 0.381 [16 per cell]